A relaxed K2RuBrCl6 crystal, computed with PBE-GGA. Values from VASP.

Geometry as Quantum ESPRESSO input:
```
&SYSTEM
  ibrav = 0, nat = 10, ntyp = 4
/
ATOMIC_SPECIES
K 39.10 K.upf
Ru 101.07 Ru.upf
Br 79.90 Br.upf
Cl 35.45 Cl.upf
ATOMIC_POSITIONS crystal
K 0.502 0.407 0.495
K 0.015 0.924 0.083
Ru 0.309 0.345 0.999
Br 0.962 0.893 0.459
Cl 0.479 0.398 0.136
Cl 0.348 0.044 0.187
Cl 0.903 0.548 0.172
Cl 0.296 0.645 0.802
Cl 0.713 0.153 0.821
Cl 0.135 0.304 0.861
CELL_PARAMETERS angstrom
6.900 0.741 0.203
4.030 6.929 -0.189
3.912 2.185 8.027
```

formation energy (no corrections)	-985	meV/atom
volume	358.3	Å³/f.u.

A relaxed K2RuBr4Cl2 crystal, computed with PBE-GGA. Values from VASP.

Geometry as Quantum ESPRESSO input:
```
&SYSTEM
  ibrav = 0, nat = 9, ntyp = 4
/
ATOMIC_SPECIES
K 39.10 K.upf
Ru 101.07 Ru.upf
Br 79.90 Br.upf
Cl 35.45 Cl.upf
ATOMIC_POSITIONS crystal
K 0.231 0.751 0.751
K 0.769 0.249 0.249
Ru 0.500 0.000 0.000
Br 0.288 0.735 0.216
Br 0.712 0.784 0.265
Br 0.712 0.265 0.784
Br 0.288 0.216 0.735
Cl 0.224 0.232 0.232
Cl 0.776 0.768 0.768
CELL_PARAMETERS angstrom
7.344 1.145 0.779
2.728 6.715 0.112
2.728 2.570 6.204
```

formation energy (no corrections)	-1017	meV/atom
volume	276.0	Å³/f.u.

A relaxed K6SBr3Cl2 crystal, computed with PBE-GGA. Values from VASP.

Geometry as Quantum ESPRESSO input:
```
&SYSTEM
  ibrav = 0, nat = 12, ntyp = 4
/
ATOMIC_SPECIES
K 39.10 K.upf
S 32.06 S.upf
Br 79.90 Br.upf
Cl 35.45 Cl.upf
ATOMIC_POSITIONS crystal
K 0.921 0.579 0.763
K 0.737 0.737 0.236
K 0.079 0.421 0.237
K 0.579 0.921 0.763
K 0.263 0.263 0.764
K 0.421 0.079 0.237
S 0.000 0.000 0.000
Br 0.163 0.837 0.500
Br 0.837 0.163 0.500
Br 0.500 0.500 0.500
Cl 0.333 0.667 0.000
Cl 0.667 0.333 0.000
CELL_PARAMETERS angstrom
-4.164 -4.809 5.090
-1.361 -0.432 -8.021
7.075 -3.443 0.363
```

formation energy (no corrections)	-1579	meV/atom
volume	425.6	Å³/f.u.

A relaxed K2SBrCl6 crystal, computed with PBE-GGA. Values from VASP.

Geometry as Quantum ESPRESSO input:
```
&SYSTEM
  ibrav = 0, nat = 10, ntyp = 4
/
ATOMIC_SPECIES
K 39.10 K.upf
S 32.06 S.upf
Br 79.90 Br.upf
Cl 35.45 Cl.upf
ATOMIC_POSITIONS crystal
K 0.250 0.250 0.250
K 0.750 0.750 0.750
S 0.500 0.500 0.500
Br 0.000 0.000 0.000
Cl 0.721 0.279 0.721
Cl 0.279 0.279 0.721
Cl 0.721 0.721 0.279
Cl 0.279 0.721 0.721
Cl 0.721 0.279 0.279
Cl 0.279 0.721 0.279
CELL_PARAMETERS angstrom
0.000 5.291 5.291
5.291 0.000 5.291
5.291 5.291 0.000
```

formation energy (no corrections)	-755	meV/atom
volume	296.2	Å³/f.u.

A relaxed K6SeBr2Cl3 crystal, computed with PBE-GGA. Values from VASP.

Geometry as Quantum ESPRESSO input:
```
&SYSTEM
  ibrav = 0, nat = 12, ntyp = 4
/
ATOMIC_SPECIES
K 39.10 K.upf
Se 78.96 Se.upf
Br 79.90 Br.upf
Cl 35.45 Cl.upf
ATOMIC_POSITIONS crystal
K 0.919 0.581 0.738
K 0.757 0.757 0.273
K 0.081 0.419 0.262
K 0.581 0.919 0.738
K 0.243 0.243 0.727
K 0.419 0.081 0.262
Se 0.000 0.000 0.000
Br 0.339 0.661 0.000
Br 0.661 0.339 0.000
Cl 0.169 0.831 0.500
Cl 0.831 0.169 0.500
Cl 0.500 0.500 0.500
CELL_PARAMETERS angstrom
8.016 -0.118 -0.042
-4.108 6.884 -0.042
-1.347 -2.332 7.767
```

formation energy (no corrections)	-1623	meV/atom
volume	423.3	Å³/f.u.

A relaxed KSe2BrCl crystal, computed with PBE-GGA. Values from VASP.

Geometry as Quantum ESPRESSO input:
```
&SYSTEM
  ibrav = 0, nat = 5, ntyp = 4
/
ATOMIC_SPECIES
K 39.10 K.upf
Se 78.96 Se.upf
Br 79.90 Br.upf
Cl 35.45 Cl.upf
ATOMIC_POSITIONS crystal
K 0.000 0.000 0.000
Se 0.000 0.500 0.000
Se 0.500 0.000 0.000
Br 0.000 0.000 0.500
Cl 0.500 0.500 0.500
CELL_PARAMETERS angstrom
6.568 0.000 0.000
0.000 6.568 0.000
0.000 0.000 5.989
```

formation energy (no corrections)	540	meV/atom
volume	258.4	Å³/f.u.
ΔE to the lowest computed polymorph	59.7	kJ per mole of atoms

A relaxed KSe2BrCl crystal, computed with PBE-GGA. Values from VASP.

Geometry as Quantum ESPRESSO input:
```
&SYSTEM
  ibrav = 0, nat = 5, ntyp = 4
/
ATOMIC_SPECIES
K 39.10 K.upf
Se 78.96 Se.upf
Br 79.90 Br.upf
Cl 35.45 Cl.upf
ATOMIC_POSITIONS crystal
K 0.500 0.500 0.500
Se 0.000 0.500 0.000
Se 0.500 0.000 0.000
Br 0.000 0.000 0.500
Cl 0.000 0.000 0.000
CELL_PARAMETERS angstrom
-0.391 2.321 -4.321
-4.833 -0.921 -0.058
-1.301 6.597 3.661
```

formation energy (no corrections)	-79	meV/atom
volume	185.3	Å³/f.u.
ΔE to the lowest computed polymorph	0.0	kJ per mole of atoms

A relaxed KSeBrCl2 crystal, computed with PBE-GGA. Values from VASP.

Geometry as Quantum ESPRESSO input:
```
&SYSTEM
  ibrav = 0, nat = 5, ntyp = 4
/
ATOMIC_SPECIES
K 39.10 K.upf
Se 78.96 Se.upf
Br 79.90 Br.upf
Cl 35.45 Cl.upf
ATOMIC_POSITIONS crystal
K 0.500 0.500 0.500
Se 0.000 0.000 0.000
Br 0.000 0.000 0.500
Cl 0.000 0.500 0.000
Cl 0.500 0.000 0.000
CELL_PARAMETERS angstrom
5.409 0.000 0.000
0.000 5.409 0.000
0.000 0.000 5.208
```

formation energy (no corrections)	-746	meV/atom
volume	152.4	Å³/f.u.

A relaxed K6SeBr3Cl2 crystal, computed with PBE-GGA. Values from VASP.

Geometry as Quantum ESPRESSO input:
```
&SYSTEM
  ibrav = 0, nat = 12, ntyp = 4
/
ATOMIC_SPECIES
K 39.10 K.upf
Se 78.96 Se.upf
Br 79.90 Br.upf
Cl 35.45 Cl.upf
ATOMIC_POSITIONS crystal
K 0.920 0.572 0.761
K 0.731 0.731 0.238
K 0.080 0.428 0.239
K 0.572 0.920 0.761
K 0.269 0.269 0.762
K 0.428 0.080 0.239
Se 0.000 0.000 0.000
Br 0.161 0.839 0.500
Br 0.839 0.161 0.500
Br 0.500 0.500 0.500
Cl 0.333 0.667 0.000
Cl 0.667 0.333 0.000
CELL_PARAMETERS angstrom
8.214 0.011 0.005
-4.096 7.120 0.005
-1.370 -2.372 7.413
```

formation energy (no corrections)	-1590	meV/atom
volume	434.0	Å³/f.u.

A relaxed K2SnBr2Cl4 crystal, computed with PBE-GGA. Values from VASP.

Geometry as Quantum ESPRESSO input:
```
&SYSTEM
  ibrav = 0, nat = 9, ntyp = 4
/
ATOMIC_SPECIES
K 39.10 K.upf
Sn 118.71 Sn.upf
Br 79.90 Br.upf
Cl 35.45 Cl.upf
ATOMIC_POSITIONS crystal
K 0.500 0.750 0.250
K 0.500 0.250 0.750
Sn 0.000 0.000 0.000
Br 0.000 0.750 0.750
Br 0.000 0.250 0.250
Cl 0.000 0.762 0.238
Cl 0.524 0.762 0.762
Cl 0.000 0.238 0.762
Cl 0.476 0.238 0.238
CELL_PARAMETERS angstrom
7.396 -0.114 -0.164
-3.650 6.434 0.164
-3.650 -2.107 6.081
```

formation energy (no corrections)	-1350	meV/atom
volume	284.4	Å³/f.u.

A relaxed KSnBr2Cl crystal, computed with PBE-GGA. Values from VASP.

Geometry as Quantum ESPRESSO input:
```
&SYSTEM
  ibrav = 0, nat = 5, ntyp = 4
/
ATOMIC_SPECIES
K 39.10 K.upf
Sn 118.71 Sn.upf
Br 79.90 Br.upf
Cl 35.45 Cl.upf
ATOMIC_POSITIONS crystal
K 0.500 0.500 0.500
Sn 0.000 0.000 0.000
Br 0.000 0.500 0.000
Br 0.500 0.000 0.000
Cl 0.000 0.000 0.500
CELL_PARAMETERS angstrom
5.868 0.000 0.000
0.000 5.868 0.000
0.000 0.000 5.541
```

formation energy (no corrections)	-1195	meV/atom
volume	190.8	Å³/f.u.
ΔE to the lowest computed polymorph	3.2	kJ per mole of atoms

A relaxed K2SnBr2Cl2 crystal, computed with PBE-GGA. Values from VASP.

Geometry as Quantum ESPRESSO input:
```
&SYSTEM
  ibrav = 0, nat = 7, ntyp = 4
/
ATOMIC_SPECIES
K 39.10 K.upf
Sn 118.71 Sn.upf
Br 79.90 Br.upf
Cl 35.45 Cl.upf
ATOMIC_POSITIONS crystal
K 0.156 0.701 0.685
K 0.844 0.299 0.315
Sn 0.000 0.000 0.000
Br 0.522 0.294 0.952
Br 0.478 0.706 0.048
Cl 0.192 0.137 0.616
Cl 0.808 0.863 0.384
CELL_PARAMETERS angstrom
-2.697 -1.417 3.145
5.885 0.472 5.310
0.074 6.259 5.975
```

formation energy (no corrections)	-1428	meV/atom
volume	247.0	Å³/f.u.